The following is a DFT calculation (PBE) of a relaxed K5InI7 crystal.

Results
**Density of states at the Fermi level**: 0.11 states/eV/atom
**ΔE_f (raw)**: -1.210 eV per atom

Lattice parameters (Å, degrees): 5.2926 8.6638 30.5783 89.98 89.99 72.53
Fractional coordinates of all 26 atoms:
K1 0.0000 0.0000 0.0000
K2 0.0014 0.0004 0.4997
K3 0.2691 0.4562 0.0708
K4 0.2704 0.4572 0.4289
K5 0.4745 0.0638 0.8630
K6 0.4758 0.0633 0.6366
K7 0.5250 0.9365 0.1369
K8 0.5259 0.9379 0.3627
K9 0.7303 0.5439 0.9292
K10 0.7318 0.5438 0.5704
In1 0.2540 0.4585 0.2500
In2 0.7471 0.5419 0.7497
I1 0.0972 0.8129 0.8970
I2 0.0986 0.8126 0.6026
I3 0.1480 0.6835 0.1756
I4 0.1485 0.6846 0.3242
I5 0.1724 0.6940 0.7497
I6 0.3650 0.2728 0.9638
I7 0.3663 0.2730 0.5359
I8 0.6347 0.7272 0.0362
I9 0.6360 0.7280 0.4635
I10 0.8287 0.3062 0.2500
I11 0.8520 0.3170 0.8242
I12 0.8530 0.3163 0.6754
I13 0.9026 0.1872 0.1030
I14 0.9036 0.1884 0.3968